Tb4Pr3Cd4 | PBE-GGA | optimized geometry

Cell lengths 5.3655, 7.3068, 17.1537 Å; angles 90.00, 90.00, 90.00 degrees
Last column: nearest neighbours and their distance in Å.
Space group Immm (No. 71)
Unique sites:
1 Tb 0.0000 0.2316 0.1800 x8  4 Cd 3.04-3.17, 1 Tb 3.38
2 Pr 0.0000 0.0000 0.3935 x4  4 Tb 3.55, 6 Cd 3.56-3.89, 1 Pr 3.66
3 Pr 0.0000 0.5000 0.5000 x2  6 Cd 3.16-3.46
4 Cd 0.0000 0.2993 0.0000 x4  1 Cd 2.93, 2 Tb 3.13
5 Cd 0.0000 0.5000 0.3156 x4  6 Tb 3.04-3.17, 1 Pr 3.16

Properties
raw total energy	-75.548	eV per cell
M_tot	0.0	μB per cell

Li2OsCl | PBE-GGA | optimized geometry

Cell lengths 6.5554, 6.5554, 6.5554 Å; angles 90.00, 90.00, 90.00 degrees
Last column: nearest neighbours and their distance in Å.
Space group Fm-3m (No. 225)
Unique sites:
1 Li 0.2500 0.2500 0.2500 x8  4 Cl 2.84, 4 Os 2.84
2 Os 0.0000 0.0000 0.0000 x4  8 Li 2.84
3 Cl 0.0000 0.0000 0.5000 x4  8 Li 2.84

Properties
M_tot	12.0	μB per cell
formation energy from raw total energies	67.5	kJ/mol of atoms

TbSmGeAu | PBE-GGA | optimized geometry

Cell lengths 7.2708, 7.2708, 7.2708 Å; angles 90.00, 90.00, 90.00 degrees
Last column: nearest neighbours and their distance in Å.
Space group F-43m (No. 216)
Unique sites:
1 Tb 0.0000 0.0000 0.0000 x4  4 Ge 3.15, 4 Au 3.15
2 Sm 0.0000 0.0000 0.5000 x4  4 Au 3.15, 4 Ge 3.15
3 Ge 0.2500 0.2500 0.7500 x4  4 Tb 3.15, 4 Sm 3.15
4 Au 0.2500 0.2500 0.2500 x4  4 Tb 3.15, 4 Sm 3.15

Properties
raw total energy	-80.820	eV per cell
M_tot	2.7	μB per cell

GeBiPd | PBE-GGA | optimized geometry

Cell lengths 13.6408, 3.4753, 6.2858 Å; angles 90.00, 116.67, 90.00 degrees
Last column: nearest neighbours and their distance in Å.
Space group Cm (No. 8)
Unique sites:
1 Ge 0.0000 0.0000 0.0000 x2  3 Pd 2.59-2.60
2 Ge 0.2420 0.0000 0.9514 x2  4 Pd 2.58-2.67
3 Bi 0.0674 0.5000 0.4908 x2  3 Pd 2.90-2.93
4 Bi 0.3196 0.0000 0.5368 x2  4 Pd 3.00, 4 Ge 3.22-3.34
5 Pd 0.1581 0.5000 0.1479 x2  4 Ge 2.59-2.67, 1 Pd 2.86
6 Pd 0.3812 0.5000 0.2273 x2  3 Ge 2.58-2.60, 1 Pd 2.86

Properties
raw total energy	-56.669	eV per cell
M_tot	0.0	μB per cell

Ba2ZnH6Ru | PBE-GGA | optimized geometry

Cell lengths 5.8070, 5.8070, 4.9399 Å; angles 90.00, 90.00, 120.00 degrees
Last column: nearest neighbours and their distance in Å.
Space group P-3m1 (No. 164)
Unique sites:
1 Ba 0.3333 0.6667 0.2662 x2  9 H 2.88-2.91
2 Zn 0.0000 0.0000 0.0000 x1  6 H 2.06
3 H 0.1460 0.2921 0.7062 x6  1 Ru 1.79
4 Ru 0.0000 0.0000 0.5000 x1  6 H 1.79

Properties
raw total energy	-37.536	eV per cell
M_tot	0.0	μB per cell

TcHgRu4 | PBE-GGA | optimized geometry

Cell lengths 7.2268, 7.2268, 7.2268 Å; angles 90.00, 90.00, 90.00 degrees
Last column: nearest neighbours and their distance in Å.
Space group F-43m (No. 216)
Unique sites:
1 Tc 0.0000 0.0000 0.0000 x4  12 Ru 3.00, 4 Hg 3.13
2 Hg 0.2500 0.2500 0.7500 x4  12 Ru 3.00, 4 Tc 3.13
3 Ru 0.1252 0.1252 0.3748 x16  6 Ru 2.55-2.56

Properties
raw total energy	-176.056	eV per cell
M_tot	0.0	μB per cell

HfB3Mo | PBE-GGA | optimized geometry

Cell lengths 4.0427, 4.0427, 4.0427 Å; angles 90.00, 90.00, 90.00 degrees
Last column: nearest neighbours and their distance in Å.
Space group Pm-3m (No. 221)
Unique sites:
1 Hf 0.0000 0.0000 0.0000 x1  12 B 2.86
2 B 0.0000 0.5000 0.5000 x3  2 Mo 2.02
3 Mo 0.5000 0.5000 0.5000 x1  6 B 2.02

Properties
raw total energy	-37.475	eV per cell
M_tot	0.0	μB per cell

CrIn2Si | PBE-GGA | optimized geometry

Cell lengths 6.9200, 6.9200, 6.9200 Å; angles 90.00, 90.00, 90.00 degrees
Last column: nearest neighbours and their distance in Å.
Space group Fm-3m (No. 225)
Unique sites:
1 Cr 0.0000 0.0000 0.0000 x4  8 In 3.00
2 In 0.2500 0.2500 0.2500 x8  4 Cr 3.00, 4 Si 3.00
3 Si 0.0000 0.0000 0.5000 x4  8 In 3.00

Properties
M_tot	16.3	μB per cell
formation energy from raw total energies	50.6	kJ/mol of atoms

CsTaSCl2 | PBE-GGA | optimized geometry

Cell lengths 6.0342, 6.0342, 5.4808 Å; angles 90.00, 90.00, 90.00 degrees
Last column: nearest neighbours and their distance in Å.
Space group P4/mmm (No. 123)
Unique sites:
1 Cs 0.0000 0.0000 0.0000 x1  2 S 2.74, 4 Cl 3.02
2 Ta 0.5000 0.5000 0.5000 x1  8 Cl 4.08, 4 S 4.27
3 S 0.0000 0.0000 0.5000 x1  2 Cs 2.74
4 Cl 0.0000 0.5000 0.0000 x2  2 Cs 3.02

Properties
M_tot	3.0	μB per cell
formation energy from raw total energies	119.9	kJ/mol of atoms

CsTlH6Ir | PBE-GGA | optimized geometry

Cell lengths 5.3555, 5.3555, 6.2450 Å; angles 90.00, 90.00, 120.00 degrees
Last column: nearest neighbours and their distance in Å.
Space group P312 (No. 149)
Unique sites:
1 Cs 0.0000 0.0000 0.0000 x1  6 H 2.80
2 Tl 0.3333 0.6667 0.5000 x1  6 H 2.59
3 H 0.3967 0.1380 0.6658 x6  1 Ir 1.66
4 Ir 0.6667 0.3333 0.5000 x1  6 H 1.66

Properties
raw total energy	-32.827	eV per cell
M_tot	0.0	μB per cell